Density functional theory data (GGA-PBE) for a geometry-optimized CaCrPt structure.

Summary:
E above lowest polymorph: 0.401 eV per atom
energy: -5.78 eV per atom
E_form: 31 kJ/mol of formula units
crystal system: orthorhombic
DOS at the Fermi energy: 4.4 states/eV/f.u.

a b c (Å): 5.4330 4.3493 10.2979
angles (deg): 90.00 90.00 90.00
Last column: nearest neighbours and their distance in Å.
Space group Pnma (No. 62)
Unique sites:
Ca1 0.1171 0.2500 0.1292 [4 per cell]  2 Pt 2.79-2.82, 2 Cr 3.01
Cr1 0.1178 0.7500 0.3316 [4 per cell]  3 Pt 2.44-2.68
Pt1 0.1144 0.2500 0.4389 [4 per cell]  3 Cr 2.44-2.68



Density functional theory data (GGA-PBE) for a geometry-optimized CaCrPt structure.

Summary:
E above lowest polymorph: 0.315 eV per atom
energy: -5.87 eV per atom
E_form: 6 kJ/mol of formula units
crystal system: hexagonal
DOS at the Fermi energy: 2.7 states/eV/f.u.

a b c (Å): 4.0683 4.0683 9.1532
angles (deg): 90.00 90.00 120.00
Last column: nearest neighbours and their distance in Å.
Space group P6_3/mmc (No. 194)
Unique sites:
Ca1 0.0000 0.0000 0.0000 [2 per cell]  6 Cr 3.28, 6 Pt 3.28
Cr1 0.3333 0.6667 0.2500 [2 per cell]  3 Pt 2.35
Pt1 0.3333 0.6667 0.7500 [2 per cell]  3 Cr 2.35



Density functional theory data (GGA-PBE) for a geometry-optimized CaCrPt structure.

Summary:
E above lowest polymorph: 0.734 eV per atom
energy: -5.45 eV per atom
E_form: 127 kJ/mol of formula units
crystal system: cubic
DOS at the Fermi energy: 5.9 states/eV/f.u.

a b c (Å): 6.3666 6.3666 6.3666
angles (deg): 90.00 90.00 90.00
Last column: nearest neighbours and their distance in Å.
Space group F-43m (No. 216)
Unique sites:
Ca1 0.0000 0.0000 0.0000 [4 per cell]  4 Pt 2.76
Cr1 0.0000 0.0000 0.5000 [4 per cell]  4 Pt 2.76
Pt1 0.2500 0.2500 0.2500 [4 per cell]  4 Cr 2.76, 4 Ca 2.76



Density functional theory data (GGA-PBE) for a geometry-optimized CaCrPt structure.

Summary:
E above lowest polymorph: 0.175 eV per atom
energy: -6.01 eV per atom
E_form: -35 kJ/mol of formula units
crystal system: monoclinic
DOS at the Fermi energy: 2.3 states/eV/f.u.

a b c (Å): 8.5407 7.0254 4.3766
angles (deg): 90.00 114.96 90.00
Last column: nearest neighbours and their distance in Å.
Space group C2 (No. 5)
Unique sites:
Ca1 0.1869 0.0000 0.4339 [4 per cell]  5 Pt 2.89-3.18, 4 Cr 3.01-3.22
Cr1 0.0739 0.3417 0.8913 [4 per cell]  1 Cr 1.87
Pt1 0.1170 0.6980 0.8664 [4 per cell]  2 Cr 2.54-2.60, 1 Pt 2.71



Density functional theory data (GGA-PBE) for a geometry-optimized CaCrPt structure.

Summary:
E above lowest polymorph: 0.111 eV per atom
energy: -6.07 eV per atom
E_form: -53 kJ/mol of formula units
crystal system: monoclinic
DOS at the Fermi energy: 2.8 states/eV/f.u.

a b c (Å): 6.6628 5.6337 6.6388
angles (deg): 90.00 90.42 90.00
Last column: nearest neighbours and their distance in Å.
Space group C2/m (No. 12)
Unique sites:
Ca1 0.2345 0.0000 0.1499 [4 per cell]  4 Pt 3.07-3.16, 4 Cr 3.11-3.30
Cr1 0.0000 0.3056 0.5000 [4 per cell]  1 Cr 2.19
Pt1 0.2047 0.0000 0.6749 [4 per cell]  4 Cr 2.48-2.54



Density functional theory data (GGA-PBE) for a geometry-optimized Ca2CrPt2 structure.

Summary:
energy: -5.46 eV per atom
E_form: -153 kJ/mol of formula units
crystal system: tetragonal
DOS at the Fermi energy: 6.1 states/eV/f.u.

a b c (Å): 6.6220 6.6220 4.6653
angles (deg): 90.00 90.00 90.00
Last column: nearest neighbours and their distance in Å.
Space group P4/mbm (No. 127)
Unique sites:
Ca1 0.1745 0.3255 0.0000 [4 per cell]  6 Pt 2.89-3.15
Cr1 0.0000 0.0000 0.5000 [2 per cell]  4 Pt 2.54
Pt1 0.1437 0.6437 0.5000 [4 per cell]  2 Cr 2.54, 1 Pt 2.69



Density functional theory data (GGA-PBE) for a geometry-optimized CaCrPt3 structure.

Summary:
E above lowest polymorph: 1.674 eV per atom
energy: -4.21 eV per atom
E_form: 838 kJ/mol of formula units
crystal system: cubic
DOS at the Fermi energy: 9.6 states/eV/f.u.

a b c (Å): 4.8619 4.8619 4.8619
angles (deg): 90.00 90.00 90.00
Last column: nearest neighbours and their distance in Å.
Space group Pm-3m (No. 221)
Unique sites:
Ca1 0.0000 0.0000 0.0000 [1 per cell]  6 Pt 2.43
Cr1 0.5000 0.5000 0.5000 [1 per cell]  12 Pt 3.44
Pt1 0.0000 0.0000 0.5000 [3 per cell]  2 Ca 2.43



Density functional theory data (GGA-PBE) for a geometry-optimized CaCrPt structure.

Summary:
E above lowest polymorph: 0.000 eV per atom
energy: -6.18 eV per atom
E_form: -85 kJ/mol of formula units
crystal system: orthorhombic
DOS at the Fermi energy: 2.4 states/eV/f.u.

a b c (Å): 7.2649 4.2705 8.0354
angles (deg): 90.00 90.00 90.00
Last column: nearest neighbours and their distance in Å.
Space group Pnma (No. 62)
Unique sites:
Ca1 0.0231 0.2500 0.1769 [4 per cell]  5 Pt 3.02-3.09, 6 Cr 3.22-3.36
Cr1 0.1441 0.2500 0.5633 [4 per cell]  4 Pt 2.66-2.72
Pt1 0.2224 0.7500 0.3791 [4 per cell]  4 Cr 2.66-2.72



| no. | magnetic moment (μB per cell) |
| --- | --- |
| 1 | 0.00 |
| 2 | 0.00 |
| 3 | 2.05 |
| 4 | 0.00 |
| 5 | 0.00 |
| 6 | 0.00 |
| 7 | 0.64 |
| 8 | 16.14 |